No. 1
An optimized crystal structure of NaYGe, computed with PBE-GGA.

The space group is P2/m (No. 10) and the conventional cell measures 4.535, 3.904 and 8.630 Å, with angles of 90.00, 105.17 and 90.00 degrees. The inequivalent atoms are Na at (0.000, 0.000, 0.000), Na at (0.500, 0.500, 0.000), Y at (0.175, 0.500, 0.349) and Ge at (0.339, 0.000, 0.679).

The formation energy is -30 kJ per mole of atoms. Its total magnetic moment is 0.00 μB per atom.

No. 2
An optimized crystal structure of Na2YZnGe2, computed with PBE-GGA.

The space group is Pmc2_1 (No. 26) and the conventional cell measures 4.418, 8.501 and 7.218 Å, with angles of 90.00, 90.00 and 90.00 degrees. The inequivalent atoms are Na at (0.000, 0.086, 0.000), Na at (0.500, 0.152, 0.319), Y at (0.500, 0.463, 0.986), Zn at (0.000, 0.313, 0.631), Ge at (0.000, 0.391, 0.265) and Ge at (0.500, 0.191, 0.726).

The formation energy is -35 kJ per mole of atoms. Its total magnetic moment is 0.00 μB per atom.

No. 3
An optimized crystal structure of Na2Zn2Ge, computed with PBE-GGA.

The space group is C2/c (No. 15) and the conventional cell measures 9.455, 5.741 and 8.116 Å, with angles of 90.00, 101.50 and 90.00 degrees. The inequivalent atoms are Na at (0.150, 0.121, 0.160), Zn at (0.133, 0.370, 0.499) and Ge at (0.000, 0.369, 0.750).

As for the energy above the most stable polymorph in this dataset: 4 meV/atom. The formation energy is -7 kJ per mole of atoms. Its total magnetic moment is 0.00 μB per atom.

No. 4
An optimized crystal structure of NaZn3Ge3, computed with PBE-GGA.

The space group is Pm-3n (No. 223) and the conventional cell measures 7.030, 7.030 and 7.030 Å, with angles of 90.00, 90.00 and 90.00 degrees. The inequivalent atoms are Na at (0.000, 0.000, 0.000), Zn at (0.000, 0.250, 0.500) and Ge at (0.000, 0.500, 0.250).

The formation energy is 23 kJ per mole of atoms. Its total magnetic moment is 0.00 μB per atom.

No. 5
An optimized crystal structure of Na4Zn2Ge5, computed with PBE-GGA.

The space group is P2/m (No. 10) and the conventional cell measures 7.311, 3.095 and 9.874 Å, with angles of 90.00, 93.05 and 90.00 degrees. The inequivalent atoms are Na at (0.153, 0.000, 0.402), Na at (0.301, 0.000, 0.949), Zn at (0.049, 0.500, 0.137), Ge at (0.217, 0.500, 0.680), Ge at (0.417, 0.500, 0.227) and Ge at (0.500, 0.500, 0.500).

The formation energy is 4 kJ per mole of atoms. Its total magnetic moment is 0.00 μB per atom.

No. 6
An optimized crystal structure of NaZn3Ge2, computed with PBE-GGA.

The space group is C2/m (No. 12) and the conventional cell measures 15.819, 4.139 and 7.840 Å, with angles of 90.00, 114.07 and 90.00 degrees. The inequivalent atoms are Na at (0.150, 0.000, 0.055), Zn at (0.042, 0.000, 0.373), Zn at (0.092, 0.500, 0.669), Zn at (0.186, 0.500, 0.444), Ge at (0.023, 0.500, 0.175) and Ge at (0.194, 0.000, 0.695).

The formation energy is -3 kJ per mole of atoms. Its total magnetic moment is 0.00 μB per atom.

No. 7
An optimized crystal structure of NaZnGe2, computed with PBE-GGA.

The space group is P4/mmm (No. 123) and the conventional cell measures 3.474, 3.474 and 6.715 Å, with angles of 90.00, 90.00 and 90.00 degrees. The inequivalent atoms are Na at (0.000, 0.000, 0.000), Zn at (0.000, 0.000, 0.500) and Ge at (0.500, 0.500, 0.304).

The formation energy is 5 kJ per mole of atoms. Its total magnetic moment is 0.00 μB per atom.

No. 8
An optimized crystal structure of Na2Zn3Ge4, computed with PBE-GGA.

The space group is Cmce (No. 64) and the conventional cell measures 5.965, 15.493 and 7.716 Å, with angles of 90.00, 90.00 and 90.00 degrees. The inequivalent atoms are Na at (0.000, 0.102, 0.101), Zn at (0.000, 0.000, 0.500), Zn at (0.250, 0.234, 0.750), Ge at (0.000, 0.174, 0.490) and Ge at (0.250, 0.066, 0.750).

The formation energy is 2 kJ per mole of atoms. Its total magnetic moment is 0.00 μB per atom.

No. 9
An optimized crystal structure of NaZn4Ge2, computed with PBE-GGA.

The space group is P4_2/mnm (No. 136) and the conventional cell measures 7.982, 7.982 and 4.103 Å, with angles of 90.00, 90.00 and 90.00 degrees. The inequivalent atoms are Na at (0.000, 0.000, 0.000), Zn at (0.077, 0.324, 0.500) and Ge at (0.223, 0.777, 0.500).

The formation energy is 0 kJ per mole of atoms. Its total magnetic moment is 0.00 μB per atom.

No. 10
An optimized crystal structure of NaZn4Ge, computed with PBE-GGA.

The space group is F-43m (No. 216) and the conventional cell measures 7.536, 7.536 and 7.536 Å, with angles of 90.00, 90.00 and 90.00 degrees. The inequivalent atoms are Na at (0.000, 0.000, 0.000), Zn at (0.125, 0.125, 0.625) and Ge at (0.250, 0.250, 0.250).

As for the energy above the most stable polymorph in this dataset: 44 meV/atom. The formation energy is 6 kJ per mole of atoms. Its total magnetic moment is 0.00 μB per atom.

No. 11
An optimized crystal structure of NaZnGe2, computed with PBE-GGA.

The space group is Pnma (No. 62) and the conventional cell measures 14.480, 4.199 and 11.026 Å, with angles of 90.00, 90.00 and 90.00 degrees. The inequivalent atoms are Na at (0.053, 0.250, 0.241), Na at (0.207, 0.750, 0.526), Zn at (0.050, 0.250, 0.952), Zn at (0.204, 0.750, 0.823), Ge at (0.047, 0.250, 0.517), Ge at (0.111, 0.250, 0.730), Ge at (0.133, 0.750, 0.036) and Ge at (0.210, 0.750, 0.245).

The formation energy is -5 kJ per mole of atoms. Its total magnetic moment is 0.00 μB per atom.

No. 12
An optimized crystal structure of Na2Zn3Ge, computed with PBE-GGA.

The space group is C2/m (No. 12) and the conventional cell measures 9.283, 5.391 and 5.588 Å, with angles of 90.00, 123.65 and 90.00 degrees. The inequivalent atoms are Na at (0.126, 0.000, 0.380), Zn at (0.000, 0.500, 0.000), Zn at (0.250, 0.250, 0.000) and Ge at (0.000, 0.500, 0.500).

The formation energy is -4 kJ per mole of atoms. Its total magnetic moment is 0.00 μB per atom.

In order of appearance, energy = -4.449, -3.630, -2.029, -2.479, -2.764, -2.431, -2.902, -2.748, -2.236, -1.780, -3.006, -1.884 eV/atom.
In order of appearance, calculated density = 4.2, 4.2, 3.8, 4.2, 4.4, 5.2, 4.8, 5.0, 5.5, 5.5, 4.6, 4.5 g/cm3.